[1]
Computed, not measured: a geometry-optimized PmLuTh structure at the PBE-GGA level of DFT.

Structure (POSCAR):
```
PmLuTh
1.0
0.000 3.815 3.815
3.815 0.000 3.815
3.815 3.815 0.000
Pm Lu Th
1 1 1
direct
0.000 0.000 0.000 Pm
0.750 0.750 0.750 Lu
0.250 0.250 0.250 Th
```

Values from the calculation:
As for the formation energy: 0.84 eV per atom. The raw total energy is -14.163 eV per cell. Its crystal system is cubic.

[2]
Computed, not measured: a geometry-optimized PuAgTe structure at the PBE-GGA level of DFT.

Structure (POSCAR):
```
PuAgTe
1.0
0.000 3.530 3.530
3.530 0.000 3.530
3.530 3.530 0.000
Pu Ag Te
1 1 1
direct
0.000 0.000 0.000 Pu
0.500 0.500 0.500 Ag
0.750 0.750 0.750 Te
```

Values from the calculation:
Its energy above the lowest structure with this stoichiometry is 86 meV/atom. The raw total energy is -20.873 eV per cell. Its crystal system is cubic.

[3]
Computed, not measured: a geometry-optimized LuFeSbPt structure at the PBE-GGA level of DFT.

Structure (POSCAR):
```
LuFeSbPt
1.0
0.000 3.304 3.304
3.304 0.000 3.304
3.304 3.304 0.000
Lu Fe Sb Pt
1 1 1 1
direct
0.000 0.000 0.000 Lu
0.750 0.750 0.750 Fe
0.500 0.500 0.500 Sb
0.250 0.250 0.250 Pt
```

Values from the calculation:
Its energy above the lowest structure with this stoichiometry is 0 meV/atom. The raw total energy is -24.710 eV per cell. Its crystal system is cubic.

- Which of these has the highest raw total energy?
  PmLuTh

- Which value of raw total energy does entry 3 give?
  -24.710 eV per cell

- Which value of raw total energy does entry 3 give?
  -24.710 eV per cell